# 1
A plane-wave DFT calculation with GGA-PBE was carried out for crystalline CeSn3Se6 at its relaxed geometry.

It has space group P2_1/m (No. 11), with a = 11.8621 Å, b = 4.0958 Å, c = 12.4427 Å, α = 90.00°, β = 112.20° and γ = 90.00°. Symmetry generates all atoms from Ce at (0.2020, 0.2500, 0.0413), Sn at (0.0399, 0.7500, 0.2868), Sn at (0.3432, 0.2500, 0.4500), Sn at (0.3848, 0.7500, 0.8319), Se at (0.0263, 0.7500, 0.9041), Se at (0.0977, 0.2500, 0.4451), Se at (0.2127, 0.2500, 0.7930), Se at (0.2418, 0.7500, 0.2336), Se at (0.3920, 0.7500, 0.0635) and Se at (0.4250, 0.7500, 0.6130).

Its total DFT energy (no corrections) is -4.615 eV per atom. As for the uncorrected formation energy: -0.730 eV per atom. The value obtained for the density of states at the Fermi level is 12.25 states/eV per cell.

=====

# 2
A plane-wave DFT calculation with GGA-PBE was carried out for crystalline NaZr2GaIr at its relaxed geometry.

It has space group P4/mmm (No. 123), with a = 5.0084 Å, b = 5.0084 Å, c = 4.6049 Å, α = 90.00°, β = 90.00° and γ = 90.00°. Symmetry generates all atoms from Na at (0.0000, 0.0000, 0.0000), Zr at (0.0000, 0.5000, 0.5000), Ga at (0.0000, 0.0000, 0.5000) and Ir at (0.5000, 0.5000, 0.0000).

Its total DFT energy (no corrections) is -5.199 eV per atom. The formation energy comes out at 0.86 eV per atom. The value obtained for the density of states at the Fermi level is 6.54 states/eV per cell.

=====

# 3
A plane-wave DFT calculation with GGA-PBE was carried out for crystalline KCa2La at its relaxed geometry.

It has space group Cmmm (No. 65), with a = 4.3253 Å, b = 6.2405 Å, c = 13.3119 Å, α = 90.00°, β = 90.00° and γ = 90.00°. Symmetry generates all atoms from K at (0.0000, 0.0000, 0.0000), Ca at (0.0000, 0.5000, 0.2721) and La at (0.0000, 0.0000, 0.5000).

Its total DFT energy (no corrections) is -2.369 eV per atom. The calculation puts the offset from the most stable computed form at 13 meV per atom. The formation energy comes out at 0.14 eV per atom. The value obtained for the density of states at the Fermi level is 10.18 states/eV per cell.

=====

# 4
A plane-wave DFT calculation with GGA-PBE was carried out for crystalline Zr7Ag at its relaxed geometry.

It has space group Fm-3m (No. 225), with a = 8.9569 Å, b = 8.9569 Å, c = 8.9569 Å, α = 90.00°, β = 90.00° and γ = 90.00°. Symmetry generates all atoms from Zr at (0.0000, 0.0000, 0.0000), Zr at (0.0000, 0.2500, 0.2500) and Ag at (0.0000, 0.0000, 0.5000).

Its total DFT energy (no corrections) is -7.773 eV per atom. The formation energy comes out at 0.06 eV per atom. The value obtained for the density of states at the Fermi level is 57.90 states/eV per cell.